1.
{"formula": "ReSiP", "functional": "meta-GGA SCAN", "state": "single point on PBEsol structure", "crystal_system": "hexagonal", "raw_formation_energy_ev_per_atom": 0.317, "lattice": [[-0.0204, 1.9314, 2.2354], [-0.2583, -3.0540, 2.6363], [3.6230, 1.3735, -1.1536]], "species": ["Re", "Si", "P"], "fractional_positions": [[0.0000, 0.3333, 0.6667], [0.5000, 0.6667, 0.3333], [0.0000, 0.0000, 0.0000]]}


2.
{"formula": "ReSiP", "functional": "meta-GGA SCAN", "state": "single point on PBEsol structure", "crystal_system": "cubic", "raw_formation_energy_ev_per_atom": 0.273, "lattice": [[4.0401, 0.0000, 0.0000], [2.0200, 3.4988, 0.0000], [2.0200, 1.1663, 3.2987]], "species": ["Re", "Si", "P"], "fractional_positions": [[0.2500, 0.2500, 0.2500], [0.0000, 0.0000, 0.0000], [0.5000, 0.5000, 0.5000]]}


3.
{"formula": "ReSiP", "functional": "meta-GGA SCAN", "state": "single point on PBEsol structure", "crystal_system": "hexagonal", "raw_formation_energy_ev_per_atom": 0.437, "lattice": [[-1.0115, -0.1845, 2.9800], [-0.5149, -6.7370, -0.5919], [5.8028, 2.7825, 2.1419]], "species": ["P", "P", "P", "Re", "Re", "Re", "Si", "Si", "Si"], "fractional_positions": [[0.5000, 0.0000, 0.3617], [0.5000, 0.3617, 0.0000], [0.5000, 0.6383, 0.6383], [0.0000, 0.0000, 0.7287], [0.0000, 0.7287, 0.0000], [0.0000, 0.2713, 0.2713], [0.0000, 0.3333, 0.6667], [0.0000, 0.6667, 0.3333], [0.5000, 0.0000, 0.0000]]}


4.
{"formula": "ReSi2P", "functional": "meta-GGA SCAN", "state": "single point on PBEsol structure", "crystal_system": "monoclinic", "raw_formation_energy_ev_per_atom": 0.262, "lattice": [[-0.3239, -3.0006, -0.0945], [1.8954, -0.0841, -3.8224], [3.7017, 1.0504, 2.2020]], "species": ["P", "Re", "Si", "Si"], "fractional_positions": [[0.5000, 0.0000, 0.0000], [0.0000, 0.5000, 0.0000], [0.2680, 0.2615, 0.5360], [0.7320, 0.7385, 0.4640]]}


5.
{"formula": "ReSi2P", "functional": "meta-GGA SCAN", "state": "single point on PBEsol structure", "crystal_system": "monoclinic", "raw_formation_energy_ev_per_atom": 0.218, "lattice": [[-0.9868, -1.3768, -2.5962], [2.9570, -0.5986, -0.8065], [-1.3551, -4.7186, 3.0174]], "species": ["P", "Re", "Si", "Si"], "fractional_positions": [[0.5000, 0.5000, 0.5000], [0.5000, 0.5000, 0.0000], [0.0000, 0.9230, 0.7621], [0.0000, 0.0770, 0.2379]]}


6.
{"formula": "Re2SnP2", "functional": "meta-GGA SCAN", "state": "single point on PBEsol structure", "formation_enthalpy_0k_mev_per_atom": 52, "crystal_system": "tetragonal", "lattice": [[3.6929, 0.0000, 0.0000], [0.0000, 3.6929, 0.0000], [-1.8464, -1.8464, 5.8071]], "species": ["Re", "Re", "Sn", "P", "P"], "fractional_positions": [[0.3775, 0.3775, 0.7551], [0.6225, 0.6225, 0.2449], [0.0000, 0.0000, 0.0000], [0.2500, 0.7500, 0.5000], [0.7500, 0.2500, 0.5000]]}


7.
{"formula": "SrReP3", "functional": "meta-GGA SCAN", "state": "single point on PBEsol structure", "formation_enthalpy_0k_mev_per_atom": 2485, "crystal_system": "cubic", "lattice": [[-4.2167, 2.2448, 1.9453], [-2.8379, -2.0466, -3.7897], [-0.8775, -4.1685, 2.9082]], "species": ["Re", "P", "P", "P", "Sr"], "fractional_positions": [[0.5000, 0.5000, 0.5000], [0.0000, 0.5000, 0.0000], [0.0000, 0.0000, 0.5000], [0.5000, 0.0000, 0.0000], [0.0000, 0.0000, 0.0000]]}


8.
{"formula": "SrReP2", "functional": "meta-GGA SCAN", "state": "single point on PBEsol structure", "formation_enthalpy_0k_mev_per_atom": -130, "crystal_system": "orthorhombic", "lattice": [[-1.8798, 0.9239, 3.4179], [0.8155, -3.2179, 3.6691], [2.9116, 2.1578, 3.3687]], "species": ["P", "P", "Re", "Sr"], "fractional_positions": [[0.3254, 0.6746, 0.6746], [0.6746, 0.3254, 0.3254], [0.0000, 0.5000, 0.5000], [0.5000, 0.0000, 0.0000]]}